! Pm2VNiO6, optimized geometry, DFT GGA+U; values from VASP
&SYSTEM
  ibrav = 0, nat = 20, ntyp = 4
/
ATOMIC_SPECIES
O 16.00 O.upf
Pm 145.00 Pm.upf
V 50.94 V.upf
Ni 58.69 Ni.upf
ATOMIC_POSITIONS crystal
O 0.6933 0.2912 0.5537
O 0.4036 0.9729 0.7388
Pm 0.4806 0.4363 0.2489
O 0.9036 0.5271 0.2388
V 0.5000 0.0000 0.5000
V 0.0000 0.5000 0.0000
O 0.7949 0.8047 0.5490
Pm 0.9806 0.0637 0.7489
O 0.1933 0.2088 0.0537
O 0.5964 0.0271 0.2612
Ni 0.0000 0.5000 0.5000
Pm 0.0194 0.9363 0.2511
O 0.7051 0.3047 0.9510
O 0.0964 0.4729 0.7612
Ni 0.5000 0.0000 0.0000
O 0.8067 0.7912 0.9463
Pm 0.5194 0.5637 0.7511
O 0.2051 0.1953 0.4510
O 0.2949 0.6953 0.0490
O 0.3067 0.7088 0.4463
CELL_PARAMETERS angstrom
5.4406 0.0000 0.0161
0.0000 5.7189 0.0000
0.0553 0.0000 7.6538
! - M_tot: 6.0 Bohr magnetons per cell
! - E: -7.525 eV per atom